No. 1
## CaSn (PBEsol)

Data for crystalline CaSn at its relaxed geometry.

## Properties
- DOS at the Fermi energy (states/eV/atom) = 0.453

a b c (Å): 4.7261 11.4278 4.3216
angles (deg): 90.00 90.00 90.00
Last column: nearest neighbours and their distance in Å.
Space group Cmcm (No. 63)
Symmetry-distinct sites (fractional):
Ca (0.0000, 0.1344, 0.2500) x4  7 Sn 3.21-3.45
Sn (0.0000, 0.4149, 0.2500) x4  2 Sn 2.91, 5 Ca 3.21-3.25

---

No. 2
## Ca2Sn (PBEsol)

Data for crystalline Ca2Sn at its relaxed geometry.

## Properties
- DOS at the Fermi energy (states/eV/atom) = 0.087

a b c (Å): 7.2128 5.2180 9.3924
angles (deg): 90.00 90.00 90.00
Last column: nearest neighbours and their distance in Å.
Space group Pnma (No. 62)
Symmetry-distinct sites (fractional):
Ca (0.0133, 0.2500, 0.2135) x4  5 Sn 3.32-3.63, 8 Ca 3.56-3.67
Ca (0.1962, 0.2500, 0.5772) x4  4 Sn 3.10-3.29
Sn (0.2405, 0.2500, 0.9055) x4  7 Ca 3.10-3.38

---

No. 3
## Ca2Sn (PBEsol)

Data for crystalline Ca2Sn at its relaxed geometry.

a b c (Å): 7.4578 7.4578 7.4578
angles (deg): 90.00 90.00 90.00
Last column: nearest neighbours and their distance in Å.
Space group Fm-3m (No. 225)
Symmetry-distinct sites (fractional):
Ca (0.2500, 0.2500, 0.2500) x8  4 Sn 3.23
Sn (0.0000, 0.0000, 0.0000) x4  8 Ca 3.23

---

Per-record ΔE_f, meV per atom: -692.2; -688.0; -633.6